Entry 1:
Tb2Nd4Ho3 | GGA-PBE | optimized geometry

The structure in extended XYZ format:
```
9
Lattice="-2.007 -2.100 2.154 0.561 -0.954 -3.443 21.926 -13.465 7.304" Properties=species:S:1:pos:R:3 pbc="T T T"
Ho 7.063 -4.337 2.353
Nd 11.992 -7.365 3.995
Ho 13.218 -10.543 5.075
Ho 21.509 -13.209 7.165
Nd 16.768 -10.298 5.586
Tb 18.038 -13.503 6.681
Nd 3.584 -4.626 1.866
Tb 0.696 -2.852 0.904
Nd 8.311 -7.529 3.440
```

Properties
Space group: P3m1, No. 156
Fermi-level density of states: 16.65 states/eV/cell
Energy of formation: 0.0564 eV per atom
Distance to the lowest polymorph of the same formula: 39 meV/atom
Total energy: -41.6 eV/f.u.
Total moment: 0.009 μB/f.u.


Entry 2:
Tb5Nd3Ho3 | GGA-PBE | optimized geometry

The structure in extended XYZ format:
```
11
Lattice="5.417 0.000 0.000 0.000 9.685 0.000 0.000 -4.843 8.388" Properties=species:S:1:pos:R:3 pbc="T T T"
Ho 0.000 -2.633 4.561
Tb 2.708 -3.556 6.160
Tb 2.708 0.000 5.592
Nd 2.708 3.083 5.341
Nd 2.708 -1.759 3.047
Tb 2.708 7.113 0.000
Tb 2.708 4.843 2.796
Tb 2.708 1.286 2.228
Nd 2.708 3.518 0.000
Ho 0.000 2.209 3.827
Ho 0.000 5.266 0.000
```

Properties
Space group: P-62m, No. 189
Fermi-level density of states: 16.11 states/eV/cell
Energy of formation: 0.8007 eV per atom
Total energy: -42.4 eV/f.u.
Total moment: 0.000 μB/f.u.


Entry 3:
Tb2NdHo5 | GGA-PBE | optimized geometry

The structure in extended XYZ format:
```
16
Lattice="-4.361 -1.442 -4.897 9.135 -6.176 8.239 -8.738 -2.384 3.131" Properties=species:S:1:pos:R:3 pbc="T T T"
Ho 3.991 -4.620 3.461
Tb -1.893 -4.859 1.477
Ho -2.590 -1.674 -0.143
Ho -7.132 -3.421 -1.541
Ho 0.484 -8.423 9.624
Ho 1.305 -6.478 5.026
Tb -5.446 -3.821 4.946
Ho -1.373 -8.329 6.616
Ho -4.447 -1.580 -3.151
Tb -2.070 -5.144 4.996
Tb 1.483 -6.182 1.527
Nd -4.560 -6.722 3.083
Ho -5.268 -3.524 1.447
Ho 3.169 -6.582 8.014
Nd 0.597 -3.281 3.389
Ho -7.954 -5.382 3.012
```

Properties
Space group: P-1, No. 2
Fermi-level density of states: 29.39 states/eV/cell
Energy of formation: 0.0119 eV per atom
Distance to the lowest polymorph of the same formula: 0 meV/atom
Total energy: -36.8 eV/f.u.
Total moment: 0.000 μB/f.u.


Entry 4:
Tb5Nd6Ho | GGA-PBE | optimized geometry

The structure in extended XYZ format:
```
12
Lattice="11.822 -1.372 0.000 1.807 6.018 0.000 0.903 3.009 5.440" Properties=species:S:1:pos:R:3 pbc="T T T"
Tb 7.718 5.332 1.813
Tb 0.903 3.009 1.813
Nd 4.306 4.172 1.812
Nd 10.225 3.484 0.000
Tb 6.815 2.323 0.000
Nd 9.323 0.474 1.812
Tb 6.815 2.323 3.627
Nd 5.210 7.180 3.628
Ho 0.000 0.000 0.000
Nd 10.227 3.483 3.628
Nd 3.404 1.161 0.000
Tb 1.807 6.018 3.627
```

Properties
Space group: C2/m, No. 12
Fermi-level density of states: 14.19 states/eV/cell
Energy of formation: 0.0108 eV per atom
Distance to the lowest polymorph of the same formula: 0 meV/atom
Total energy: -56.2 eV/f.u.
Total moment: 0.000 μB/f.u.


Entry 5:
Tb6NdHo5 | GGA-PBE | optimized geometry

The structure in extended XYZ format:
```
12
Lattice="6.061 0.000 1.076 3.031 5.328 0.538 -0.017 0.000 11.785" Properties=species:S:1:pos:R:3 pbc="T T T"
Ho 6.053 1.779 6.969
Ho 6.061 3.551 1.076
Tb 4.529 0.000 9.627
Ho 3.022 0.000 6.431
Tb 7.570 3.548 4.311
Ho 3.022 3.549 6.431
Tb 4.539 1.780 3.773
Tb 4.536 3.548 9.626
Tb 1.505 1.780 9.088
Nd 0.000 0.000 0.000
Tb 1.515 0.000 3.234
Ho 3.031 1.776 0.538
```

Properties
Space group: C2/m, No. 12
Fermi-level density of states: 15.26 states/eV/cell
Energy of formation: 0.0158 eV per atom
Total energy: -55.2 eV/f.u.
Total moment: 0.000 μB/f.u.


Entry 6:
TbNd3Ho3 | GGA-PBE | optimized geometry

The structure in extended XYZ format:
```
14
Lattice="7.864 0.437 3.990 2.636 7.422 3.990 0.584 0.437 8.799" Properties=species:S:1:pos:R:3 pbc="T T T"
Nd 4.517 6.241 5.004
Ho 3.828 3.715 11.063
Tb 7.198 5.388 10.896
Nd 6.785 0.957 6.118
Nd 4.299 7.340 10.661
Ho 6.009 7.275 7.862
Nd 9.330 5.721 8.137
Ho 2.730 5.671 8.167
Nd 1.754 2.575 8.642
Tb 3.886 2.909 5.883
Ho 7.256 4.582 5.716
Nd 6.567 2.056 11.775
Ho 8.354 2.626 8.612
Ho 5.075 1.021 8.917
```

Properties
Space group: R-3, No. 148
Fermi-level density of states: 22.48 states/eV/cell
Energy of formation: 0.2524 eV per atom
Total energy: -30.9 eV/f.u.
Total moment: 0.000 μB/f.u.


Entry 7:
TbNd4Ho7 | GGA-PBE | optimized geometry

The structure in extended XYZ format:
```
12
Lattice="-3.306 -0.604 4.863 -8.302 -7.660 -3.002 1.881 -4.864 4.268" Properties=species:S:1:pos:R:3 pbc="T T T"
Ho -4.113 -6.970 7.117
Ho -3.878 -7.755 3.586
Ho -5.614 -6.158 -0.989
Ho -1.653 -0.302 2.432
Tb 0.000 0.000 0.000
Nd -3.089 -3.765 1.025
Ho -5.849 -5.373 2.542
Nd -6.638 -9.363 5.103
Ho -0.393 -3.147 2.935
Ho -9.334 -9.980 3.194
Nd -6.704 -8.609 1.559
Nd -3.023 -4.519 4.569
```

Properties
Space group: C2/m, No. 12
Fermi-level density of states: 20.07 states/eV/cell
Energy of formation: 0.2672 eV per atom
Distance to the lowest polymorph of the same formula: 180 meV/atom
Total energy: -52.5 eV/f.u.
Total moment: 0.000 μB/f.u.


Entry 8:
Tb3Nd8Ho4 | GGA-PBE | optimized geometry

The structure in extended XYZ format:
```
15
Lattice="-5.972 3.419 0.495 -0.944 -8.694 2.937 4.926 0.863 7.752" Properties=species:S:1:pos:R:3 pbc="T T T"
Ho -0.472 -4.347 1.469
Nd 0.785 -5.880 4.355
Nd -1.315 -3.437 8.426
Nd 0.493 0.216 6.812
Nd -2.482 -4.628 4.372
Ho -2.986 1.709 0.247
Ho 2.463 0.432 3.876
Tb -0.995 -2.206 5.592
Tb -3.458 -2.638 1.716
Tb -0.523 2.141 4.123
Nd -3.699 0.474 3.568
Ho 0.000 0.000 0.000
Nd 3.198 -1.951 6.334
Nd 1.709 -4.887 7.616
Nd -0.675 -0.975 2.758
```

Properties
Space group: C2/m, No. 12
Fermi-level density of states: 22.49 states/eV/cell
Energy of formation: 0.3349 eV per atom
Distance to the lowest polymorph of the same formula: 177 meV/atom
Total energy: -65.3 eV/f.u.
Total moment: 0.000 μB/f.u.


Entry 9:
Tb4NdHo6 | GGA-PBE | optimized geometry

The structure in extended XYZ format:
```
22
Lattice="5.705 0.000 0.000 -2.852 4.803 0.000 0.000 0.000 25.656" Properties=species:S:1:pos:R:3 pbc="T T T"
Nd 2.852 3.018 6.414
Ho 0.000 1.377 8.187
Tb 2.852 0.277 22.547
Ho 2.852 0.195 19.242
Tb 2.852 3.292 13.911
Tb 0.000 1.511 1.083
Ho 2.852 3.426 17.469
Tb 0.000 1.511 11.745
Ho 2.852 3.426 21.016
Tb 0.000 4.526 3.110
Tb 2.852 3.292 24.574
Ho 2.852 0.000 0.000
Ho 2.852 0.000 12.828
Ho 0.000 1.820 15.459
Nd 0.000 1.785 19.242
Ho 0.000 1.820 23.026
Ho 2.852 2.984 2.631
Tb 2.852 0.277 15.938
Ho 0.000 1.377 4.641
Ho 0.000 4.608 6.414
Tb 0.000 4.526 9.719
Ho 2.852 2.984 10.198
```

Properties
Space group: Cmcm, No. 63
Fermi-level density of states: 39.50 states/eV/cell
Energy of formation: 0.1221 eV per atom
Distance to the lowest polymorph of the same formula: 0 meV/atom
Total energy: -49.4 eV/f.u.
Total moment: 0.000 μB/f.u.


Entry 10:
Tb5Nd6Ho | GGA-PBE | optimized geometry

The structure in extended XYZ format:
```
12
Lattice="4.925 0.017 -1.435 -1.391 8.945 -4.660 0.111 -0.810 9.533" Properties=species:S:1:pos:R:3 pbc="T T T"
Nd -0.418 7.934 -1.335
Tb 3.088 1.230 1.441
Nd 2.116 2.242 -1.881
Nd 3.367 4.694 2.441
Tb 1.252 2.447 4.323
Tb 0.558 6.921 1.997
Tb -0.695 4.472 -2.330
Nd 4.063 0.218 4.773
Nd 1.530 5.910 5.319
Tb 2.394 5.705 -0.885
Nd 0.278 3.457 0.997
Ho 0.000 0.000 0.000
```

Properties
Space group: Immm, No. 71
Fermi-level density of states: 15.94 states/eV/cell
Energy of formation: 0.0143 eV per atom
Distance to the lowest polymorph of the same formula: 3 meV/atom
Total energy: -56.2 eV/f.u.
Total moment: 0.000 μB/f.u.


Entry 11:
Tb5Nd6Ho2 | GGA-PBE | optimized geometry

The structure in extended XYZ format:
```
26
Lattice="-3.282 1.203 0.972 -0.325 -7.897 8.680 8.798 13.680 12.776" Properties=species:S:1:pos:R:3 pbc="T T T"
Nd 5.743 7.105 17.373
Nd 3.896 7.929 10.115
Tb 0.323 2.982 4.172
Nd -0.552 -0.119 5.055
Tb 3.020 2.690 13.642
Nd 4.963 4.471 11.226
Ho 6.033 4.451 14.865
Nd 0.977 -2.790 6.752
Nd 3.510 1.312 10.229
Ho 1.580 -3.701 9.918
Tb 2.171 4.297 8.786
Nd 1.295 -0.943 12.312
Tb 4.868 4.004 18.255
Ho 2.440 1.332 6.591
Tb 2.758 7.442 6.874
Tb 4.619 7.313 13.318
Nd 7.496 8.574 14.703
Nd 0.687 0.619 1.554
Tb 6.603 11.958 14.271
Nd 3.206 4.373 5.415
Nd 5.267 1.410 16.041
Tb -1.413 -4.972 8.157
Ho 6.893 9.484 11.538
Tb -1.804 -3.347 4.826
Nd 7.786 5.164 19.901
Tb 0.572 -0.327 9.109
```

Properties
Space group: Pbam, No. 55
Fermi-level density of states: 29.83 states/eV/cell
Energy of formation: 0.0993 eV per atom
Total energy: -59.6 eV/f.u.
Total moment: 0.000 μB/f.u.


Entry 12:
TbNd2Ho | GGA-PBE | optimized geometry

The structure in extended XYZ format:
```
4
Lattice="-3.108 0.702 1.710 -2.441 -2.627 0.466 3.137 -3.462 10.946" Properties=species:S:1:pos:R:3 pbc="T T T"
Ho 0.000 0.000 0.000
Tb -1.206 -2.694 6.561
Nd -1.803 -4.043 9.852
Nd -0.608 -1.344 3.269
```

Properties
Space group: R-3m, No. 166
Fermi-level density of states: 4.56 states/eV/cell
Energy of formation: 0.0119 eV per atom
Distance to the lowest polymorph of the same formula: 0 meV/atom
Total energy: -18.7 eV/f.u.
Total moment: 0.000 μB/f.u.